--- P ---
# BeZnS2

BeZnS2 after structural relaxation (PBEsol, the Alexandria database).

Structure (POSCAR):
```
BeZnS2
1.0
1.8030 1.0409 5.9203
-1.8030 1.0409 5.9203
0.0000 -2.0819 5.9203
Be Zn S
1 1 2
Cartesian
0.0000 0.0000 0.0000
0.0000 0.0000 8.8570
0.0000 0.0000 6.5535
0.0000 0.0000 15.6813
```

Output
* Fermi-level density of states: 0.000 states/eV/cell
* space group: R3m, No. 160
* total moment: 0.0 μB per formula unit

---

--- Q ---
# BeZnS2

BeZnS2 after structural relaxation (PBEsol, the Alexandria database).

Structure (POSCAR):
```
BeZnS2
1.0
1.8827 1.0870 6.2714
-1.8827 1.0870 6.2714
0.0000 -2.1739 6.2714
Be Zn S
1 1 2
Cartesian
0.0000 0.0000 0.0000
0.0000 0.0000 9.4072
0.0000 0.0000 1.8845
0.0000 0.0000 16.9298
```

Output
* space group: R-3m, No. 166
* total moment: 0.0 μB per formula unit

---

--- R ---
# BeZnS2

BeZnS2 after structural relaxation (PBEsol, the Alexandria database).

Structure (POSCAR):
```
BeZnS2
1.0
-2.5594 2.5594 5.0308
2.5594 -2.5594 5.0308
2.5594 2.5594 -5.0308
Be Zn S
2 2 4
Cartesian
0.0000 0.0000 0.0000
0.0000 2.5594 2.5154
2.5594 0.0000 2.5154
0.0000 0.0000 5.0308
3.8391 1.1023 -1.2577
1.1023 1.2797 1.2577
-1.2797 1.4571 3.7731
1.4571 1.2797 6.2885
```

Output
* Fermi-level density of states: 0.000 states/eV/cell
* space group: I-42d, No. 122
* total moment: 0.0 μB per formula unit

---

The least stable of them is Q.

---

--- P ---
# BeSb

BeSb after structural relaxation (PBEsol, the Alexandria database).

Structure (POSCAR):
```
BeSb
1.0
0.0000 3.3849 3.3849
3.3849 0.0000 3.3849
3.3849 3.3849 0.0000
Be Sb
2 2
Cartesian
0.8462 0.8462 0.8462
5.9236 5.9236 5.9236
2.5387 2.5387 2.5387
4.2311 4.2311 4.2311
```

Output
* Fermi-level density of states: 2.351 states/eV/cell
* space group: Fd-3m, No. 227
* total moment: 0.0 μB per formula unit

---

--- Q ---
# BeSb

BeSb after structural relaxation (PBEsol, the Alexandria database).

Structure (POSCAR):
```
BeSb
1.0
6.0354 0.0000 0.0000
0.0000 4.0815 0.0000
0.0000 0.0000 7.0059
Be Sb
4 4
Cartesian
1.2927 1.0204 1.0368
1.7249 3.0612 4.5397
4.3104 1.0204 2.4662
4.7426 3.0612 5.9691
1.0406 1.0204 5.6459
1.9771 3.0612 2.1430
4.0583 1.0204 4.8629
4.9948 3.0612 1.3600
```

Output
* Fermi-level density of states: 1.186 states/eV/cell
* space group: Pnma, No. 62
* total moment: 0.0 μB per formula unit

---

The least stable of them is P.

---

--- P ---
# Be2Sb

Be2Sb after structural relaxation (PBEsol, the Alexandria database).

Structure (POSCAR):
```
Be2Sb
1.0
3.7112 0.0000 0.0000
-1.8556 3.2140 0.0000
0.0000 0.0000 3.5642
Be Sb
2 1
Cartesian
0.0000 2.1426 0.0000
1.8556 1.0713 0.0000
0.0000 0.0000 1.7821
```

Output
* Fermi-level density of states: 0.844 states/eV/cell
* space group: P6/mmm, No. 191
* total moment: 0.0 μB per formula unit

---

--- Q ---
# Be2Sb

Be2Sb after structural relaxation (PBEsol, the Alexandria database).

Structure (POSCAR):
```
Be2Sb
1.0
-1.5072 1.5072 4.9784
1.5072 -1.5072 4.9784
1.5072 1.5072 -4.9784
Be Sb
2 1
Cartesian
0.0000 0.0000 2.1673
0.0000 0.0000 7.7895
0.0000 0.0000 4.9784
```

Output
* Fermi-level density of states: 1.113 states/eV/cell
* space group: I4/mmm, No. 139
* total moment: 0.0 μB per formula unit

---

--- R ---
# Be2Sb

Be2Sb after structural relaxation (PBEsol, the Alexandria database).

Structure (POSCAR):
```
Be2Sb
1.0
4.5857 0.0000 0.0000
-2.2929 3.9713 0.0000
0.0000 0.0000 4.9543
Be Sb
4 2
Cartesian
0.0000 0.0000 0.0000
0.0000 0.0000 2.4772
0.0000 2.6476 1.2386
2.2929 1.3238 3.7157
0.0000 2.6476 3.7157
2.2929 1.3238 1.2386
```

Output
* Fermi-level density of states: 2.406 states/eV/cell
* space group: P6_3/mmc, No. 194
* total moment: 0.0 μB per formula unit

---

The least stable of them is R.